1.
First-principles (PBE) data for an optimized crystal structure of NbB2WI, as listed in Alexandria.

D(E_F) ... 0.374 states/eV per atom
Spin magnetization ... 0.00 μB per formula unit
Crystal system ... tetragonal
DFT total energy ... -5.6844 eV/atom
V ... 19.413 A^3/atom

a b c (Å): 4.313 5.217 4.313
angles (deg): 90.00 90.00 90.00
Element x y z (fractional)
W 0.000 0.500 0.000
B 0.000 0.000 0.500
B 0.500 0.000 0.000
Nb 0.000 0.000 0.000
I 0.500 0.500 0.500

=====

2.
First-principles (PBE) data for an optimized crystal structure of BeCrIr2, as listed in Alexandria.

D(E_F) ... 0.823 states/eV per atom
Spin magnetization ... 1.78 μB per formula unit
Crystal system ... tetragonal
DFT total energy ... -7.9289 eV/atom
V ... 12.747 A^3/atom
Formation energy ... -161 meV/atom

a b c (Å): 4.704 4.704 4.704
angles (deg): 135.17 135.17 65.27
Element x y z (fractional)
Cr 0.750 0.250 0.500
Be 0.500 0.500 0.000
Ir 0.250 0.750 0.500
Ir 0.000 0.000 0.000

=====

3.
First-principles (PBE) data for an optimized crystal structure of Ac2ZrIn, as listed in Alexandria.

D(E_F) ... 1.250 states/eV per atom
Spin magnetization ... 0.00 μB per formula unit
Crystal system ... tetragonal
DFT total energy ... -4.8685 eV/atom
V ... 32.241 A^3/atom
Formation energy ... 7 meV/atom
Excess energy over the best structure of this formula in the dataset ... 0.0000 eV per atom

a b c (Å): 4.959 5.100 5.100
angles (deg): 90.00 90.00 90.00
Element x y z (fractional)
Ac 0.000 0.000 0.500
Ac 0.000 0.500 0.000
In 0.500 0.000 0.000
Zr 0.500 0.500 0.500

=====

4.
First-principles (PBE) data for an optimized crystal structure of CeHo2ThSe4, as listed in Alexandria.

D(E_F) ... 1.003 states/eV per atom
Spin magnetization ... 0.94 μB per formula unit
Crystal system ... monoclinic
DFT total energy ... -6.2601 eV/atom
V ... 24.880 A^3/atom

a b c (Å): 4.070 7.331 7.044
angles (deg): 71.28 90.00 90.00
Element x y z (fractional)
Ce 0.500 0.500 0.000
Se 0.500 0.234 0.756
Se 0.500 0.766 0.244
Se 0.000 0.235 0.254
Se 0.000 0.765 0.746
Ho 0.000 0.000 0.000
Ho 0.500 0.000 0.500
Th 0.000 0.500 0.500

=====

5.
First-principles (PBE) data for an optimized crystal structure of Ba2MgSe, as listed in Alexandria.

D(E_F) ... 0.871 states/eV per atom
Spin magnetization ... 0.00 μB per formula unit
Crystal system ... orthorhombic
DFT total energy ... -3.0427 eV/atom
V ... 43.054 A^3/atom
Excess energy over the best structure of this formula in the dataset ... 0.0670 eV per atom

a b c (Å): 9.743 9.743 9.743
angles (deg): 155.18 153.63 36.53
Element x y z (fractional)
Se 0.208 0.708 0.500
Ba 0.776 0.276 0.500
Ba 0.067 0.067 0.000
Mg 0.449 0.449 0.000

=====

6.
First-principles (PBE) data for an optimized crystal structure of LaCePmTc, as listed in Alexandria.

D(E_F) ... 1.312 states/eV per atom
Spin magnetization ... 0.00 μB per formula unit
Crystal system ... monoclinic
DFT total energy ... -6.4037 eV/atom
V ... 29.825 A^3/atom
Formation energy ... 91 meV/atom

a b c (Å): 4.441 4.441 7.424
angles (deg): 90.13 107.43 119.71
Element x y z (fractional)
Tc 0.530 0.628 0.158
La 0.954 0.841 0.795
Ce 0.831 0.283 0.114
Pm 0.376 0.053 0.429

=====

7.
First-principles (PBE) data for an optimized crystal structure of PuNi5Sn, as listed in Alexandria.

D(E_F) ... 2.808 states/eV per atom
Spin magnetization ... 4.56 μB per formula unit
Crystal system ... orthorhombic
DFT total energy ... -6.9864 eV/atom
V ... 14.452 A^3/atom
Formation energy ... -238 meV/atom

a b c (Å): 4.916 8.047 10.230
angles (deg): 90.00 90.00 90.00
Element x y z (fractional)
Ni 0.750 0.409 0.981
Ni 0.750 0.317 0.752
Ni 0.001 0.569 0.812
Ni 0.250 0.940 0.102
Ni 0.250 0.440 0.398
Ni 0.001 0.069 0.688
Ni 0.501 0.931 0.312
Ni 0.750 0.060 0.898
Ni 0.250 0.683 0.248
Ni 0.750 0.909 0.519
Ni 0.499 0.569 0.812
Ni 0.250 0.091 0.481
Ni 0.750 0.560 0.602
Ni 0.250 0.591 0.019
Ni 0.250 0.183 0.252
Ni 0.750 0.817 0.748
Ni 0.499 0.069 0.688
Ni 0.999 0.431 0.188
Ni 0.501 0.431 0.188
Ni 0.999 0.931 0.312
Sn 0.750 0.138 0.142
Sn 0.750 0.638 0.358
Sn 0.250 0.862 0.858
Sn 0.250 0.362 0.642
Pu 0.250 0.253 0.944
Pu 0.250 0.753 0.556
Pu 0.750 0.747 0.056
Pu 0.750 0.247 0.444

=====

8.
First-principles (PBE) data for an optimized crystal structure of Ac6Pr8Ho, as listed in Alexandria.

D(E_F) ... 1.583 states/eV per atom
Spin magnetization ... 0.00 μB per formula unit
Crystal system ... trigonal
DFT total energy ... -4.3930 eV/atom
V ... 39.515 A^3/atom
Formation energy ... 105 meV/atom

a b c (Å): 9.244 9.244 9.244
angles (deg): 62.75 62.75 62.75
Element x y z (fractional)
Pr 0.111 0.706 0.763
Pr 0.706 0.763 0.111
Pr 0.763 0.111 0.706
Pr 0.889 0.294 0.237
Pr 0.237 0.889 0.294
Pr 0.575 0.575 0.575
Pr 0.425 0.425 0.425
Pr 0.294 0.237 0.889
Ho 0.000 0.000 0.000
Ac 0.910 0.457 0.760
Ac 0.240 0.090 0.543
Ac 0.543 0.240 0.090
Ac 0.760 0.910 0.457
Ac 0.457 0.760 0.910
Ac 0.090 0.543 0.240

=====

Please write out number 3 again, unchanged.
First-principles (PBE) data for an optimized crystal structure of Ac2ZrIn, as listed in Alexandria.

D(E_F) ... 1.250 states/eV per atom
Spin magnetization ... 0.00 μB per formula unit
Crystal system ... tetragonal
DFT total energy ... -4.8685 eV/atom
V ... 32.241 A^3/atom
Formation energy ... 7 meV/atom
Excess energy over the best structure of this formula in the dataset ... 0.0000 eV per atom

a b c (Å): 4.959 5.100 5.100
angles (deg): 90.00 90.00 90.00
Element x y z (fractional)
Ac 0.000 0.000 0.500
Ac 0.000 0.500 0.000
In 0.500 0.000 0.000
Zr 0.500 0.500 0.500